# TbFe4Co | Alexandria | PBE | optimized geometry
# - D(E_F) (states/eV per cell) = 19.4
# - size of the total moment (μB per formula unit) = 11.1
# - formation energy from the elements (eV per atom) = 0.06
data_TbFe4Co
_chemical_formula_sum 'Tb4 Fe16 Co4'
_cell_length_a 6.9941
_cell_length_b 6.9941
_cell_length_c 6.9941
_cell_angle_alpha 90.00
_cell_angle_beta 90.00
_cell_angle_gamma 90.00
_symmetry_space_group_name_H-M 'F -4 3 m'
_symmetry_Int_Tables_number 216
_symmetry_space_group_name_Hall 'F -4 2 3'
loop_
_atom_site_label
_atom_site_fract_x
_atom_site_fract_y
_atom_site_fract_z
_atom_site_occupancy
Tb1 0.0000 0.0000 0.0000 1
Fe1 0.1243 0.1243 0.6243 1
Co1 0.2500 0.2500 0.2500 1



# TbFe2Co | Alexandria | PBE | optimized geometry
# - D(E_F) (states/eV per cell) = 29.2
# - size of the total moment (μB per formula unit) = 5.5
# - formation energy from the elements (eV per atom) = -0.10
data_TbFe2Co
_chemical_formula_sum 'Tb9 Fe18 Co9'
_cell_length_a 5.0890
_cell_length_b 5.0890
_cell_length_c 24.4506
_cell_angle_alpha 90.00
_cell_angle_beta 90.00
_cell_angle_gamma 120.00
_symmetry_space_group_name_H-M 'R -3 m'
_symmetry_Int_Tables_number 166
_symmetry_space_group_name_Hall '-R 3 2"'
loop_
_atom_site_label
_atom_site_fract_x
_atom_site_fract_y
_atom_site_fract_z
_atom_site_occupancy
Tb1 0.0000 0.0000 0.0000 1
Tb2 0.0000 0.0000 0.1422 1
Fe1 0.0008 0.5004 0.0813 1
Co1 0.0000 0.0000 0.3320 1
Co2 0.0000 0.0000 0.5000 1